VASP calculation (GGA-PBE) on crystalline SrLiMn2 at its relaxed geometry.

Cell: 4.2972 4.2972 6.2699 Å, 69.88 69.88 60.05°
With the nearest neighbours (Å) after each atom.
Fractional positions:
Sr 0.4933 0.4933 0.5208  7 Mn 3.40-3.47, 4 Li 3.40-3.42
Li 0.2957 0.2957 0.1126  6 Mn 2.67-2.71
Mn 0.6914 0.6914 0.9256  3 Mn 2.48, 3 Li 2.70-2.71
Mn 0.0196 0.0196 0.9410  3 Mn 2.48, 3 Li 2.67

Output
* theoretical density: 3.69 g/cm3
* energy: -20.46 eV/cell
* energy relative to the lowest polymorph listed for this composition: 0.0 meV/atom
* formation enthalpy at 0 K: 0.37 eV per atom


VASP calculation (GGA-PBE) on crystalline U2As4Pd at its relaxed geometry.

Cell: 3.9707 3.9707 9.2534 Å, 90.00 90.00 90.00°
With the nearest neighbours (Å) after each atom.
Fractional positions:
As 0.0000 0.5000 0.8266  2 Pd 2.55
As 0.5000 0.5000 0.5000  4 As 2.81, 4 U 3.02
As 0.0000 0.0000 0.5000  4 As 2.81, 4 U 3.02
As 0.5000 0.0000 0.1734  2 Pd 2.55
U 0.0000 0.5000 0.2548  8 As 2.91-3.02, 2 Pd 3.08
U 0.5000 0.0000 0.7452  8 As 2.91-3.02, 2 Pd 3.08
Pd 0.5000 0.5000 0.0000  4 As 2.55

Output
* theoretical density: 10.04 g/cm3
* energy: -50.71 eV/cell
* formation enthalpy at 0 K: -0.62 eV per atom


VASP calculation (GGA-PBE) on crystalline CuPd6Se at its relaxed geometry.

Cell: 6.1704 6.2112 5.3398 Å, 54.16 54.66 59.61°
With the nearest neighbours (Å) after each atom.
Fractional positions:
Se 0.5000 0.5000 0.5000  6 Pd 2.47-2.48
Pd 0.5085 0.2552 0.2575  1 Se 2.48, 1 Cu 2.54, 2 Pd 2.65-2.68
Pd 0.0192 0.4904 0.7452  1 Se 2.47, 1 Cu 2.54, 2 Pd 2.66-2.69
Pd 0.2541 0.9850 0.2531  1 Se 2.48, 1 Cu 2.54, 2 Pd 2.65-2.69
Pd 0.9808 0.5096 0.2548  1 Se 2.47, 1 Cu 2.54, 2 Pd 2.66-2.69
Pd 0.4915 0.7448 0.7425  1 Se 2.48, 1 Cu 2.54, 2 Pd 2.65-2.68
Pd 0.7459 0.0150 0.7469  1 Se 2.48, 1 Cu 2.54, 2 Pd 2.65-2.69
Cu 0.0000 0.0000 0.0000  6 Pd 2.54

Output
* theoretical density: 9.91 g/cm3
* energy: -38.25 eV/cell


VASP calculation (GGA-PBE) on crystalline ZrPW2 at its relaxed geometry.

Cell: 3.3590 3.3590 5.8757 Å, 90.00 90.00 90.00°
With the nearest neighbours (Å) after each atom.
Fractional positions:
P 0.5000 0.5000 0.5000  8 W 2.70, 2 Zr 2.94
W 0.0000 0.0000 0.2813  1 W 2.57, 4 P 2.70
W 0.0000 0.0000 0.7187  1 W 2.57, 4 P 2.70
Zr 0.5000 0.5000 0.0000  8 W 2.89, 2 P 2.94

Output
* theoretical density: 12.27 g/cm3
* energy: -39.48 eV/cell
* formation enthalpy at 0 K: 0.10 eV per atom


VASP calculation (GGA-PBE) on crystalline Rb2BiAu2 at its relaxed geometry.

Cell: 7.1702 6.9257 8.3883 Å, 98.72 90.00 121.17°
With the nearest neighbours (Å) after each atom.
Fractional positions:
Bi 0.0610 0.0000 0.7500  4 Au 2.96-2.99
Bi 0.9390 0.0000 0.2500  4 Au 2.96-2.99
Au 0.0090 0.7063 0.9938  1 Au 2.81, 2 Bi 2.96-2.99
Au 0.3027 0.2937 0.5062  1 Au 2.81, 2 Bi 2.96-2.99
Au 0.6973 0.7063 0.4938  1 Au 2.81, 2 Bi 2.96-2.99
Au 0.9910 0.2937 0.0062  1 Au 2.81, 2 Bi 2.96-2.99
Rb 0.2285 0.7071 0.3694  5 Au 3.52-3.80, 1 Bi 3.79
Rb 0.7715 0.2929 0.6306  5 Au 3.52-3.80, 1 Bi 3.79
Rb 0.4787 0.7071 0.8694  5 Au 3.52-3.80, 1 Bi 3.79
Rb 0.5213 0.2929 0.1306  5 Au 3.52-3.80, 1 Bi 3.79

Output
* theoretical density: 7.33 g/cm3
* energy: -27.72 eV/cell
* energy relative to the lowest polymorph listed for this composition: 0.0 meV/atom
* formation enthalpy at 0 K: -0.30 eV per atom


VASP calculation (GGA-PBE) on crystalline ErScGaGe at its relaxed geometry.

Cell: 4.8981 4.8981 4.8981 Å, 60.00 60.00 60.00°
With the nearest neighbours (Å) after each atom.
Fractional positions:
Er 0.7500 0.7500 0.7500  4 Ga 3.00, 4 Ge 3.00
Ge 0.0000 0.0000 0.0000  4 Sc 3.00, 4 Er 3.00
Sc 0.2500 0.2500 0.2500  4 Ge 3.00, 4 Ga 3.00
Ga 0.5000 0.5000 0.5000  4 Er 3.00, 4 Sc 3.00

Output
* theoretical density: 7.09 g/cm3
* energy: -20.74 eV/cell
* energy relative to the lowest polymorph listed for this composition: 200.3 meV/atom
* formation enthalpy at 0 K: -0.55 eV per atom


VASP calculation (GGA-PBE) on crystalline Nd4RhAu at its relaxed geometry.

Cell: 6.2835 8.0623 8.2786 Å, 113.19 105.07 104.21°
With the nearest neighbours (Å) after each atom.
Fractional positions:
Au 0.3740 0.6240 0.2480  8 Nd 3.14-3.25
Au 0.6260 0.3760 0.7520  8 Nd 3.14-3.25
Rh 0.7527 0.0027 0.0054  6 Nd 2.86-3.12, 2 Rh 3.14
Rh 0.2473 0.9973 0.9946  6 Nd 2.86-3.12, 2 Rh 3.14
Nd 0.7805 0.6936 0.6301  2 Rh 3.12-3.21, 2 Au 3.14-3.25, 1 Nd 3.49
Nd 0.2195 0.3064 0.3699  2 Rh 3.12-3.21, 2 Au 3.14-3.25, 1 Nd 3.49
Nd 0.9721 0.7818 0.1350  2 Rh 2.86-2.92, 2 Au 3.19-3.20
Nd 0.3496 0.9365 0.6301  2 Rh 3.12-3.21, 2 Au 3.14-3.25, 1 Nd 3.49
Nd 0.6628 0.3532 0.1350  2 Rh 2.86-2.92, 2 Au 3.19-3.20
Nd 0.3372 0.6468 0.8650  2 Rh 2.86-2.92, 2 Au 3.19-3.20
Nd 0.0279 0.2182 0.8650  2 Rh 2.86-2.92, 2 Au 3.19-3.20
Nd 0.6504 0.0635 0.3699  2 Rh 3.12-3.21, 2 Au 3.14-3.25, 1 Nd 3.49

Output
* theoretical density: 8.50 g/cm3
* energy: -65.27 eV/cell
* energy relative to the lowest polymorph listed for this composition: 41.8 meV/atom
* formation enthalpy at 0 K: -0.49 eV per atom


VASP calculation (GGA-PBE) on crystalline TiBeCu at its relaxed geometry.

Cell: 2.5748 4.0736 4.0736 Å, 120.00 90.00 90.00°
With the nearest neighbours (Å) after each atom.
Fractional positions:
Cu 0.1664 0.0000 0.0000  3 Be 2.35, 2 Cu 2.57
Ti 0.6667 0.6667 0.3333  2 Ti 2.57, 6 Cu 2.68, 6 Be 2.68
Be 0.1669 0.3333 0.6667  3 Cu 2.35, 2 Be 2.57

Output
* theoretical density: 5.40 g/cm3
* energy: -15.98 eV/cell
* energy relative to the lowest polymorph listed for this composition: 37.4 meV/atom
* formation enthalpy at 0 K: -0.09 eV per atom


VASP calculation (GGA-PBE) on crystalline Nd4Rh2Au at its relaxed geometry.

Cell: 7.8116 7.8052 7.8017 Å, 108.79 108.80 110.75°
With the nearest neighbours (Å) after each atom.
Fractional positions:
Rh 0.7542 0.8743 0.3797  4 Nd 2.80-2.92
Rh 0.1247 0.5046 0.8797  4 Nd 2.80-2.92
Rh 0.4960 0.3755 0.6205  4 Nd 2.80-2.92
Rh 0.6253 0.2462 0.1210  4 Nd 2.80-2.92
Nd 0.9875 0.2406 0.3779  2 Rh 2.80-2.92, 1 Au 3.00
Nd 0.3907 0.0117 0.2540  2 Rh 2.80-2.92, 1 Au 3.00
Nd 0.2625 0.1408 0.7538  2 Rh 2.80-2.92, 1 Au 3.00
Nd 0.4905 0.7380 0.8776  2 Rh 2.80-2.92, 1 Au 3.00
Nd 0.7590 0.1367 0.7475  2 Rh 2.80-2.92, 1 Au 3.00
Nd 0.8597 0.6135 0.1206  2 Rh 2.80-2.92, 1 Au 3.00
Nd 0.8636 0.6104 0.6210  2 Rh 2.80-2.92, 1 Au 3.00
Nd 0.3864 0.5081 0.2472  2 Rh 2.80-2.92, 1 Au 3.00
Au 0.0009 0.9997 0.0003  4 Nd 3.00
Au 0.2489 0.7499 0.4993  4 Nd 3.00

Output
* theoretical density: 8.88 g/cm3
* energy: -83.03 eV/cell
* formation enthalpy at 0 K: -0.64 eV per atom


VASP calculation (GGA-PBE) on crystalline RbTiBi2 at its relaxed geometry.

Cell: 3.6000 3.6000 9.3570 Å, 90.00 90.00 90.00°
With the nearest neighbours (Å) after each atom.
Fractional positions:
Rb 0.5000 0.5000 0.5000  4 Rb 3.60, 8 Bi 3.88
Ti 0.5000 0.5000 0.0000  8 Bi 3.09
Bi 0.0000 0.0000 0.1876  4 Ti 3.09
Bi 0.0000 0.0000 0.8124  4 Ti 3.09

Output
* theoretical density: 7.55 g/cm3
* energy: -17.17 eV/cell
* energy relative to the lowest polymorph listed for this composition: 0.0 meV/atom
* formation enthalpy at 0 K: -0.14 eV per atom


VASP calculation (GGA-PBE) on crystalline Y3SbTeSe at its relaxed geometry.

Cell: 7.0565 7.1900 8.3164 Å, 64.39 81.74 70.59°
With the nearest neighbours (Å) after each atom.
Fractional positions:
Y 0.7500 0.2577 0.4846  1 Se 2.81, 1 Sb 2.89
Y 0.2500 0.7423 0.5154  1 Se 2.81, 1 Sb 2.89
Y 0.5023 0.1780 0.1610  2 Se 2.87, 2 Sb 2.98-3.02
Y 0.4977 0.8220 0.8390  2 Se 2.87, 2 Sb 2.98-3.02
Y 0.9977 0.6611 0.1610  2 Se 2.87, 2 Sb 2.98-3.02
Y 0.0023 0.3389 0.8390  2 Se 2.87, 2 Sb 2.98-3.02
Sb 0.7500 0.0648 0.8703  5 Y 2.89-3.02
Sb 0.2500 0.9352 0.1297  5 Y 2.89-3.02
Se 0.2500 0.5548 0.8905  5 Y 2.81-2.87
Se 0.7500 0.4452 0.1095  5 Y 2.81-2.87
Te 0.7500 0.7502 0.4997  8 Y 3.26-3.60
Te 0.2500 0.2498 0.5003  8 Y 3.26-3.60

Output
* theoretical density: 5.51 g/cm3
* energy: -74.09 eV/cell


VASP calculation (GGA-PBE) on crystalline EuZn3Ru at its relaxed geometry.

Cell: 4.8145 4.8145 4.8145 Å, 90.00 90.00 90.00°
With the nearest neighbours (Å) after each atom.
Fractional positions:
Zn 0.5000 0.0000 0.0000  2 Ru 2.41
Zn 0.0000 0.5000 0.0000  2 Ru 2.41
Zn 0.0000 0.0000 0.5000  2 Ru 2.41
Ru 0.0000 0.0000 0.0000  6 Zn 2.41
Eu 0.5000 0.5000 0.5000  12 Zn 3.40

Output
* theoretical density: 6.68 g/cm3
* energy: -23.83 eV/cell
* formation enthalpy at 0 K: -0.09 eV per atom